[1]
# CaMg14FeO16

A crystal of CaMg14FeO16 relaxed with PBEsol (SCAN, Alexandria via LeMat-Bulk).

Cell lengths 4.278, 8.525, 8.525 Å; angles 90.00, 90.00, 90.00 degrees
Each line ends with the local moment (μB).
Fractional positions:
Ca (0.000, 0.000, 0.000)  0.00
Mg (0.000, 0.500, 0.000)  0.00
Mg (0.000, 0.000, 0.500)  0.00
Mg (0.500, 0.256, 0.000)  0.00
Mg (0.500, 0.744, 0.000)  0.00
Mg (0.500, 0.251, 0.500)  0.00
Mg (0.500, 0.749, 0.500)  0.00
Mg (0.500, 0.000, 0.256)  0.00
Mg (0.500, 0.500, 0.251)  0.00
Mg (0.500, 0.000, 0.744)  0.00
Mg (0.500, 0.500, 0.749)  0.00
Mg (0.000, 0.253, 0.253)  0.00
Mg (0.000, 0.747, 0.253)  0.00
Mg (0.000, 0.253, 0.747)  0.00
Mg (0.000, 0.747, 0.747)  0.00
Fe (0.000, 0.500, 0.500)  3.62
O (0.000, 0.000, 0.263)  0.00
O (0.000, 0.500, 0.249)  0.05
O (0.000, 0.000, 0.737)  0.00
O (0.000, 0.500, 0.751)  0.05
O (0.500, 0.250, 0.250)  0.00
O (0.500, 0.750, 0.250)  0.00
O (0.500, 0.250, 0.750)  0.00
O (0.500, 0.750, 0.750)  0.00
O (0.500, 0.000, 0.000)  0.00
O (0.500, 0.500, 0.000)  0.00
O (0.500, 0.000, 0.500)  0.00
O (0.500, 0.500, 0.500)  0.10
O (0.000, 0.263, 0.000)  0.00
O (0.000, 0.737, 0.000)  0.00
O (0.000, 0.249, 0.500)  0.05
O (0.000, 0.751, 0.500)  0.05

Output
- relative energy among the computed polymorphs (kJ per mole of atoms) = 0.55
- E_form (uncorrected) (eV/atom) = -2.871
- volume (Å³ per atom) = 9.72


[2]
# InBr2Cl

A crystal of InBr2Cl relaxed with PBEsol (SCAN, Alexandria via LeMat-Bulk).

Cell lengths 6.578, 6.673, 6.682 Å; angles 80.92, 71.33, 60.47 degrees
Fractional positions:
Cl (0.147, 0.208, 0.723)
Cl (0.645, 0.208, 0.277)
Br (0.004, 0.497, 0.252)
Br (0.845, 0.848, 0.747)
Br (0.307, 0.848, 0.253)
Br (0.499, 0.497, 0.748)
In (0.911, 0.179, 0.500)
In (0.244, 0.513, 0.500)

Output
- relative energy among the computed polymorphs (kJ per mole of atoms) = 0.00
- E_form (uncorrected) (eV/atom) = -1.034
- volume (Å³ per atom) = 30.22


[3]
# Sc5In4Pb2

A crystal of Sc5In4Pb2 relaxed with PBEsol (SCAN, Alexandria via LeMat-Bulk).

Cell lengths 3.257, 7.663, 20.133 Å; angles 90.00, 90.00, 90.00 degrees
Each line ends with the local moment (μB).
Fractional positions:
In (0.500, 0.326, 0.543)  -0.01
In (0.500, 0.674, 0.457)  -0.01
In (0.500, 0.826, 0.957)  -0.01
In (0.500, 0.174, 0.043)  -0.01
In (0.500, 0.470, 0.871)  0.00
In (0.500, 0.530, 0.129)  0.00
In (0.500, 0.970, 0.629)  0.00
In (0.500, 0.030, 0.371)  0.00
Pb (0.500, 0.380, 0.281)  0.00
Pb (0.500, 0.620, 0.719)  0.00
Pb (0.500, 0.880, 0.219)  0.00
Pb (0.500, 0.120, 0.781)  0.00
Sc (0.000, 0.500, 0.000)  0.32
Sc (0.000, 0.000, 0.500)  0.32
Sc (0.000, 0.206, 0.172)  0.17
Sc (0.000, 0.794, 0.828)  0.17
Sc (0.000, 0.706, 0.328)  0.17
Sc (0.000, 0.294, 0.672)  0.17
Sc (0.000, 0.352, 0.413)  0.30
Sc (0.000, 0.648, 0.587)  0.30
Sc (0.000, 0.852, 0.087)  0.30
Sc (0.000, 0.148, 0.913)  0.30

Output
- total energy (eV/atom) = -32.893
- volume (Å³ per atom) = 22.84


[4]
# LiVOF3

A crystal of LiVOF3 relaxed with PBEsol (SCAN, Alexandria via LeMat-Bulk).

Cell lengths 4.602, 5.473, 10.001 Å; angles 90.00, 90.00, 90.00 degrees
Each line ends with the local moment (μB).
Fractional positions:
Li (0.991, 0.758, 0.498)  0.00
Li (0.991, 0.742, 0.998)  0.00
Li (0.491, 0.242, 0.502)  0.00
Li (0.491, 0.258, 0.002)  0.00
V (0.029, 0.080, 0.240)  1.05
V (0.529, 0.580, 0.260)  1.05
V (0.029, 0.420, 0.740)  1.05
V (0.529, 0.920, 0.760)  1.05
O (0.753, 0.790, 0.315)  -0.11
O (0.753, 0.710, 0.815)  -0.11
O (0.253, 0.290, 0.185)  -0.11
O (0.253, 0.210, 0.685)  -0.11
F (0.798, 0.032, 0.087)  0.02
F (0.798, 0.468, 0.587)  0.02
F (0.298, 0.532, 0.413)  0.02
F (0.298, 0.968, 0.913)  0.02
F (0.739, 0.210, 0.823)  0.01
F (0.739, 0.290, 0.323)  0.01
F (0.239, 0.790, 0.177)  0.01
F (0.239, 0.710, 0.677)  0.01
F (0.691, 0.531, 0.088)  0.02
F (0.691, 0.969, 0.588)  0.02
F (0.191, 0.469, 0.912)  0.02
F (0.191, 0.031, 0.412)  0.02

Output
- relative energy among the computed polymorphs (kJ per mole of atoms) = 0.00
- E_form (uncorrected) (eV/atom) = -3.030
- volume (Å³ per atom) = 10.50


[5]
# ScAs2Ir

A crystal of ScAs2Ir relaxed with PBEsol (SCAN, Alexandria via LeMat-Bulk).

Cell lengths 3.537, 3.537, 5.422 Å; angles 90.00, 90.00, 90.00 degrees
Fractional positions:
As (0.000, 0.000, 0.953)
As (0.500, 0.500, 0.304)
Ir (0.000, 0.000, 0.445)
Sc (0.500, 0.500, 0.798)

Output
- relative energy among the computed polymorphs (kJ per mole of atoms) = 0.00
- volume (Å³ per atom) = 16.96


[6]
# Sr3GaS

A crystal of Sr3GaS relaxed with PBEsol (SCAN, Alexandria via LeMat-Bulk).

Cell lengths 5.826, 5.826, 5.826 Å; angles 90.00, 90.00, 90.00 degrees
Fractional positions:
Sr (0.000, 0.500, 0.000)
Sr (0.000, 0.000, 0.500)
Sr (0.500, 0.000, 0.000)
S (0.500, 0.500, 0.500)
Ga (0.000, 0.000, 0.000)

Output
- E_form (uncorrected) (eV/atom) = -0.355
- volume (Å³ per atom) = 39.56


Repeat the third record exactly.
# Sc5In4Pb2

A crystal of Sc5In4Pb2 relaxed with PBEsol (SCAN, Alexandria via LeMat-Bulk).

Cell lengths 3.257, 7.663, 20.133 Å; angles 90.00, 90.00, 90.00 degrees
Each line ends with the local moment (μB).
Fractional positions:
In (0.500, 0.326, 0.543)  -0.01
In (0.500, 0.674, 0.457)  -0.01
In (0.500, 0.826, 0.957)  -0.01
In (0.500, 0.174, 0.043)  -0.01
In (0.500, 0.470, 0.871)  0.00
In (0.500, 0.530, 0.129)  0.00
In (0.500, 0.970, 0.629)  0.00
In (0.500, 0.030, 0.371)  0.00
Pb (0.500, 0.380, 0.281)  0.00
Pb (0.500, 0.620, 0.719)  0.00
Pb (0.500, 0.880, 0.219)  0.00
Pb (0.500, 0.120, 0.781)  0.00
Sc (0.000, 0.500, 0.000)  0.32
Sc (0.000, 0.000, 0.500)  0.32
Sc (0.000, 0.206, 0.172)  0.17
Sc (0.000, 0.794, 0.828)  0.17
Sc (0.000, 0.706, 0.328)  0.17
Sc (0.000, 0.294, 0.672)  0.17
Sc (0.000, 0.352, 0.413)  0.30
Sc (0.000, 0.648, 0.587)  0.30
Sc (0.000, 0.852, 0.087)  0.30
Sc (0.000, 0.148, 0.913)  0.30

Output
- total energy (eV/atom) = -32.893
- volume (Å³ per atom) = 22.84